Run a
A geometry-optimized Mn3SbO structure, computed with PBE+U. Values from VASP.

Quantum ESPRESSO input file:
```
&SYSTEM
  ibrav = 0, nat = 5, ntyp = 3
/
ATOMIC_SPECIES
Mn 54.94 Mn.upf
Sb 121.76 Sb.upf
O 16.00 O.upf
CELL_PARAMETERS angstrom
-1.6317 -3.6837 3.2639
0.9124 -3.6054 -3.6130
4.8364 -0.5626 1.7828
ATOMIC_POSITIONS crystal
Mn 0.0000 0.5000 0.0000
Mn 0.5000 0.0000 0.0000
Mn 0.0000 0.0000 0.5000
Sb 0.0000 0.0000 0.0000
O 0.5000 0.5000 0.5000
```

Results
Total magnetic moment in μB/cell: 14.181

=====

Run b
A geometry-optimized Mn3SbO structure, computed with PBE+U. Values from VASP.

Quantum ESPRESSO input file:
```
&SYSTEM
  ibrav = 0, nat = 5, ntyp = 3
/
ATOMIC_SPECIES
Mn 54.94 Mn.upf
Sb 121.76 Sb.upf
O 16.00 O.upf
CELL_PARAMETERS angstrom
-2.4633 0.1760 3.7241
3.4782 -1.4986 2.3715
1.3423 4.2061 0.6892
ATOMIC_POSITIONS crystal
Mn 0.5000 0.0000 0.0000
Mn 0.0000 0.0000 0.5000
Mn 0.0000 0.5000 0.0000
Sb 0.5000 0.5000 0.5000
O 0.0000 0.0000 0.0000
```

Results
Total magnetic moment in μB/cell: 14.379

=====

The structure with the least stability is run a.

=====

Run a
A geometry-optimized Mn5Sb3O12 structure, computed with PBE+U. Values from VASP.

Quantum ESPRESSO input file:
```
&SYSTEM
  ibrav = 0, nat = 80, ntyp = 3
/
ATOMIC_SPECIES
O 16.00 O.upf
Sb 121.76 Sb.upf
Mn 54.94 Mn.upf
CELL_PARAMETERS angstrom
10.9549 0.0000 0.0000
-3.6516 10.3283 0.0000
-3.6516 -5.1642 8.9446
ATOMIC_POSITIONS crystal
O 0.2949 0.4221 0.8293
O 0.0344 0.4072 0.8293
O 0.7051 0.1272 0.0344
O 0.5344 0.2051 0.1272
O 0.6272 0.0344 0.2051
O 0.1272 0.7051 0.5344
O 0.5928 0.6272 0.4221
O 0.2051 0.6707 0.0779
O 0.9221 0.8293 0.7949
O 0.1707 0.0928 0.9656
O 0.0779 0.9072 0.3728
O 0.8293 0.9072 0.0344
O 0.0928 0.9221 0.1272
O 0.2051 0.5344 0.6272
O 0.4221 0.2949 0.3293
O 0.5779 0.7051 0.6707
O 0.4221 0.1272 0.5928
O 0.9072 0.0779 0.8728
O 0.2949 0.8728 0.9656
O 0.0344 0.6272 0.7051
O 0.8293 0.9221 0.2949
O 0.8728 0.2949 0.4656
O 0.4072 0.3728 0.5779
O 0.6707 0.4656 0.5928
O 0.5344 0.3293 0.9072
O 0.5928 0.9656 0.6707
O 0.9656 0.5928 0.1707
O 0.4656 0.6707 0.0928
O 0.6272 0.5928 0.9221
O 0.9656 0.3728 0.2949
O 0.4072 0.0344 0.3293
O 0.4656 0.7949 0.8728
O 0.9221 0.0928 0.6272
O 0.1272 0.4221 0.0928
O 0.0928 0.1707 0.4656
O 0.6707 0.2051 0.5779
O 0.8728 0.5779 0.9072
O 0.7051 0.5779 0.1707
O 0.3293 0.7949 0.4221
O 0.9072 0.8293 0.5344
O 0.0779 0.1707 0.2051
O 0.1707 0.0779 0.7051
O 0.5779 0.8728 0.4072
O 0.3728 0.4072 0.0779
O 0.3293 0.5344 0.4072
O 0.7949 0.3293 0.9221
O 0.7949 0.4656 0.3728
O 0.3728 0.9656 0.7949
Sb 0.8750 0.7500 0.1250
Sb 0.7500 0.3750 0.1250
Sb 0.6250 0.2500 0.3750
Sb 0.7500 0.8750 0.6250
Sb 0.1250 0.2500 0.8750
Sb 0.1250 0.8750 0.7500
Sb 0.6250 0.3750 0.7500
Sb 0.3750 0.7500 0.6250
Sb 0.2500 0.6250 0.8750
Sb 0.2500 0.1250 0.3750
Sb 0.3750 0.6250 0.2500
Sb 0.8750 0.1250 0.2500
Mn 0.3750 0.2500 0.1250
Mn 0.6250 0.7500 0.8750
Mn 0.1250 0.7500 0.3750
Mn 0.8750 0.6250 0.7500
Mn 0.6250 0.8750 0.2500
Mn 0.0000 0.5000 0.5000
Mn 0.2500 0.3750 0.6250
Mn 0.5000 0.0000 0.0000
Mn 0.1250 0.3750 0.2500
Mn 0.0000 0.0000 0.5000
Mn 0.7500 0.6250 0.3750
Mn 0.5000 0.5000 0.5000
Mn 0.5000 0.0000 0.5000
Mn 0.0000 0.0000 0.0000
Mn 0.8750 0.2500 0.6250
Mn 0.7500 0.1250 0.8750
Mn 0.5000 0.5000 0.0000
Mn 0.0000 0.5000 0.0000
Mn 0.2500 0.8750 0.1250
Mn 0.3750 0.1250 0.7500
```

Results
Total magnetic moment in μB/cell: 79.990

=====

Run b
A geometry-optimized Mn5Sb3O12 structure, computed with PBE+U. Values from VASP.

Quantum ESPRESSO input file:
```
&SYSTEM
  ibrav = 0, nat = 20, ntyp = 3
/
ATOMIC_SPECIES
Mn 54.94 Mn.upf
O 16.00 O.upf
Sb 121.76 Sb.upf
CELL_PARAMETERS angstrom
3.1934 0.0000 0.0000
0.0000 8.1169 -4.6863
0.0000 0.0000 9.3726
ATOMIC_POSITIONS crystal
Mn 0.0000 0.2970 0.0000
Mn 0.0000 0.7030 0.7030
Mn 0.0000 0.3333 0.6667
Mn 0.0000 0.0000 0.2970
Mn 0.0000 0.6667 0.3333
O 0.5000 0.7518 0.5513
O 0.0000 0.5298 0.0000
O 0.0000 0.1874 0.1874
O 0.5000 0.7996 0.2482
O 0.0000 0.4702 0.4702
O 0.0000 0.8126 0.0000
O 0.0000 0.0000 0.8126
O 0.0000 0.0000 0.5298
O 0.5000 0.4487 0.2004
O 0.5000 0.2482 0.7996
O 0.5000 0.2004 0.4487
O 0.5000 0.5513 0.7518
Sb 0.5000 0.3302 0.3302
Sb 0.5000 0.6698 0.0000
Sb 0.5000 0.0000 0.6698
```

Results
Total magnetic moment in μB/cell: 24.976

=====

The structure with the least stability is run a.

=====

Run a
A geometry-optimized ScMn2SbO6 structure, computed with PBE+U. Values from VASP.

Quantum ESPRESSO input file:
```
&SYSTEM
  ibrav = 0, nat = 10, ntyp = 4
/
ATOMIC_SPECIES
O 16.00 O.upf
Mn 54.94 Mn.upf
Sb 121.76 Sb.upf
Sc 44.96 Sc.upf
CELL_PARAMETERS angstrom
5.4086 0.0001 0.0000
2.7043 4.6841 0.0000
2.7045 1.5614 4.7494
ATOMIC_POSITIONS crystal
O 0.9549 0.5867 0.2595
O 0.1989 0.9549 0.2595
O 0.6861 0.1038 0.7726
O 0.1038 0.4375 0.7726
O 0.5866 0.1989 0.2596
O 0.4376 0.6861 0.7726
Mn 0.0294 0.0294 0.9118
Mn 0.5339 0.5339 0.3983
Sb 0.3181 0.3181 0.0458
Sc 0.8123 0.8123 0.5630
```

Results
Total magnetic moment in μB/cell: 10.000

=====

Run b
A geometry-optimized ScMn2SbO6 structure, computed with PBE+U. Values from VASP.

Quantum ESPRESSO input file:
```
&SYSTEM
  ibrav = 0, nat = 20, ntyp = 4
/
ATOMIC_SPECIES
O 16.00 O.upf
Mn 54.94 Mn.upf
Sb 121.76 Sb.upf
Sc 44.96 Sc.upf
CELL_PARAMETERS angstrom
-3.8426 -3.4753 3.5411
-0.0116 -4.4610 -4.5103
5.0866 -2.6287 2.7387
ATOMIC_POSITIONS crystal
O 0.0574 0.9109 0.7006
O 0.9639 0.0957 0.3055
O 0.0834 0.3044 0.9721
O 0.4203 0.1968 0.5525
O 0.9139 0.6994 0.0510
O 0.5574 0.8023 0.4360
O 0.3006 0.9570 0.1021
O 0.1945 0.5816 0.4159
O 0.8046 0.4254 0.5620
O 0.4187 0.5562 0.7961
O 0.5921 0.4365 0.2002
O 0.6983 0.0409 0.9070
Mn 0.5596 0.7479 0.0418
Mn 0.4393 0.2520 0.9549
Mn 0.0559 0.5597 0.7530
Mn 0.7484 0.0537 0.5646
Sb 0.9996 0.9994 0.9992
Sb 0.4989 0.4985 0.4983
Sc 0.2520 0.9436 0.4366
Sc 0.9412 0.4382 0.2505
```

Results
Total magnetic moment in μB/cell: 20.000

=====

The structure with the least stability is run a.

=====

Run a
A geometry-optimized MnZn2SbO6 structure, computed with PBE+U. Values from VASP.

Quantum ESPRESSO input file:
```
&SYSTEM
  ibrav = 0, nat = 10, ntyp = 4
/
ATOMIC_SPECIES
Zn 65.41 Zn.upf
O 16.00 O.upf
Sb 121.76 Sb.upf
Mn 54.94 Mn.upf
CELL_PARAMETERS angstrom
-1.2978 -5.2098 -0.2801
2.9002 -3.4727 -2.7149
3.0946 -3.4025 2.8813
ATOMIC_POSITIONS crystal
Zn 0.0303 0.0373 0.9056
Zn 0.5475 0.5408 0.3958
O 0.5949 0.2021 0.2739
O 0.4138 0.6866 0.7744
O 0.7044 0.0939 0.7653
O 0.0769 0.4340 0.7785
O 0.9375 0.5914 0.2764
O 0.2235 0.9455 0.2442
Sb 0.3178 0.3166 0.0465
Mn 0.8150 0.8132 0.5546
```

Results
Total magnetic moment in μB/cell: 3.995

=====

Run b
A geometry-optimized MnZn2SbO6 structure, computed with PBE+U. Values from VASP.

Quantum ESPRESSO input file:
```
&SYSTEM
  ibrav = 0, nat = 20, ntyp = 4
/
ATOMIC_SPECIES
Zn 65.41 Zn.upf
O 16.00 O.upf
Mn 54.94 Mn.upf
Sb 121.76 Sb.upf
CELL_PARAMETERS angstrom
5.3195 0.0002 0.0000
-0.3614 5.3556 0.0000
0.0000 0.0000 7.6702
ATOMIC_POSITIONS crystal
Zn 0.4473 0.4791 0.7500
Zn 0.5527 0.5209 0.2500
Zn 0.0141 0.0411 0.2500
Zn 0.9859 0.9589 0.7500
O 0.8074 0.8446 0.0709
O 0.3229 0.6698 0.4368
O 0.1926 0.1554 0.9291
O 0.3229 0.6698 0.0632
O 0.8074 0.8446 0.4291
O 0.0814 0.6007 0.7500
O 0.4109 0.1284 0.2500
O 0.5891 0.8716 0.7500
O 0.6771 0.3302 0.5632
O 0.9186 0.3993 0.2500
O 0.6771 0.3302 0.9368
O 0.1926 0.1554 0.5709
Mn 0.0000 0.5000 0.0000
Mn 0.0000 0.5000 0.5000
Sb 0.5000 0.0000 0.0000
Sb 0.5000 0.0000 0.5000
```

Results
Total magnetic moment in μB/cell: 8.000

=====

The structure with the least stability is run b.